(1)
Here is a geometry-optimized LiPr2Zn2O6 structure from Alexandria. Energies are from GGA-PBE.

The structure belongs to space group R-3m (No. 166, hexagonal axes); the cell edges are 5.8169, 5.8169 and 16.3462 Å and the angles 90.00°, 90.00° and 120.00°. The distinct sites, in fractional coordinates, are Li at (0.0000, 0.0000, 0.0000), Pr at (0.0000, 0.0000, 0.2011), Zn at (0.0000, 0.0000, 0.4193) and O at (0.0327, 0.5164, 0.7600).

The total energy is -5.81 eV per atom. For the raw formation energy, the calculation gives -1833 meV/atom. For the density of states at the Fermi level, the calculation gives 22.54 states/eV/cell.

(2)
Here is a geometry-optimized Li2PtO6 structure from Alexandria. Energies are from GGA-PBE.

The structure belongs to space group P-31m (No. 162); the cell edges are 5.3938, 5.3938 and 3.8563 Å and the angles 90.00°, 90.00° and 120.00°. The distinct sites, in fractional coordinates, are Li at (0.3333, 0.6667, 0.0000), Pt at (0.0000, 0.0000, 0.0000) and O at (0.0000, 0.2978, 0.2778).

The total energy is -4.70 eV per atom. For the raw formation energy, the calculation gives -295 meV/atom. For the density of states at the Fermi level, the calculation gives 5.12 states/eV/cell.